(1)
DFT (PBE) results for a relaxed CaNiTeN2 crystal.

Geometry as extended XYZ:
```
5
Lattice="4.397 0.000 0.000 0.000 4.397 0.000 0.000 0.000 6.432" Properties=species:S:1:pos:R:3 pbc="T T T"
Ni 2.199 2.199 3.216
Ca 0.000 0.000 0.000
Te 0.000 0.000 3.216
N 0.000 2.199 0.000
N 2.199 0.000 0.000
```

Properties
The calculation puts the polymorph energy (0 for the lowest one) at 0.903 eV/atom. The total energy is -19.56 eV for the cell shown. The uncorrected formation energy is 773 kJ/mol of formula units.

(2)
DFT (PBE) results for a relaxed Na3TlAu crystal.

Geometry as extended XYZ:
```
5
Lattice="-1.712 0.661 5.247 4.704 -2.330 1.828 2.416 5.003 0.158" Properties=species:S:1:pos:R:3 pbc="T T T"
Na 2.352 -1.165 0.914
Na 1.208 2.502 0.079
Na -0.856 0.330 2.623
Tl 2.704 1.667 3.616
Au 0.000 0.000 0.000
```

Properties
The calculation puts the polymorph energy (0 for the lowest one) at 0.132 eV/atom. The total energy is -9.77 eV for the cell shown. The value obtained for the energy of formation is -33 meV per atom.

(3)
DFT (PBE) results for a relaxed ZrBe2Au crystal.

Geometry as extended XYZ:
```
4
Lattice="3.762 0.000 0.000 0.000 3.288 -0.005 0.000 1.652 4.590" Properties=species:S:1:pos:R:3 pbc="T T T"
Be 0.000 2.269 4.569
Be 1.881 0.619 1.085
Au 1.881 3.910 3.846
Zr 0.000 2.263 1.967
```

Properties
The calculation puts the polymorph energy (0 for the lowest one) at 0.139 eV/atom. The total energy is -20.14 eV for the cell shown. The value obtained for the energy of formation is -215 meV per atom.

(4)
DFT (PBE) results for a relaxed ScCd2Te crystal.

Geometry as extended XYZ:
```
4
Lattice="-5.417 2.305 -2.986 0.221 -4.793 4.533 -2.928 0.719 2.874" Properties=species:S:1:pos:R:3 pbc="T T T"
Cd 0.000 0.000 0.000
Cd -2.598 -1.244 0.774
Sc -4.172 1.512 -0.056
Te -1.354 -2.037 3.704
```

Properties
The total energy is -12.89 eV for the cell shown. The uncorrected formation energy is -153 kJ/mol of formula units.

(5)
DFT (PBE) results for a relaxed Al2Fe2W crystal.

Geometry as extended XYZ:
```
5
Lattice="-1.629 -2.223 0.843 1.066 0.187 2.553 -5.806 5.589 3.521" Properties=species:S:1:pos:R:3 pbc="T T T"
Al -3.549 3.632 2.721
Al -1.192 2.144 3.352
Fe -1.464 0.007 2.116
Fe -4.906 3.546 4.800
W 0.000 0.000 0.000
```

Properties
The calculation puts the polymorph energy (0 for the lowest one) at 0.000 eV/atom. The total energy is -37.87 eV for the cell shown. The value obtained for the energy of formation is -102 meV per atom.

(6)
DFT (PBE) results for a relaxed Tl2CuAs crystal.

Geometry as extended XYZ:
```
4
Lattice="-3.390 1.375 3.148 1.409 -3.477 3.036 2.552 2.486 1.662" Properties=species:S:1:pos:R:3 pbc="T T T"
As -0.419 1.931 2.405
Cu 1.981 -0.495 2.349
Tl 0.000 0.000 0.000
Tl -0.991 -1.051 3.092
```

Properties
The calculation puts the polymorph energy (0 for the lowest one) at 0.387 eV/atom. The total energy is -12.05 eV for the cell shown. The value obtained for the energy of formation is 358 meV per atom.

(7)
DFT (PBE) results for a relaxed La2Tb2Co crystal.

Geometry as extended XYZ:
```
10
Lattice="5.436 0.085 -0.281 -0.089 3.774 -0.579 0.791 0.461 15.469" Properties=species:S:1:pos:R:3 pbc="T T T"
La 5.209 3.525 9.578
La 4.853 2.399 2.293
La 2.617 3.876 12.260
La 2.270 0.768 4.656
Tb 5.466 2.300 14.143
Tb 5.028 2.964 5.946
Tb 2.448 1.328 8.274
Tb 2.096 0.203 1.003
Co 2.751 2.267 14.343
Co 5.163 1.361 8.075
```

Properties
The total energy is -52.82 eV for the cell shown. The value obtained for the energy of formation is -38 meV per atom.

(8)
DFT (PBE) results for a relaxed NaCa2Pd crystal.

Geometry as extended XYZ:
```
4
Lattice="4.036 0.000 0.000 2.018 3.495 0.000 2.018 1.165 10.611" Properties=species:S:1:pos:R:3 pbc="T T T"
Na 0.000 0.000 0.000
Ca 2.018 1.165 6.946
Ca 6.054 3.495 3.665
Pd 4.036 2.330 5.306
```

Properties
The calculation puts the polymorph energy (0 for the lowest one) at 0.145 eV/atom. The total energy is -11.46 eV for the cell shown. The value obtained for the energy of formation is -236 meV per atom.

Number 5 is which compound?
Al2Fe2W